No. 1
DFT (GGA-PBE) results for a relaxed BrCl crystal.

Computed properties:
Excess energy over the best structure of this formula in the dataset, meV per atom: 4
Uncorrected formation energy, meV/atom: -23
M_tot, μB per cell: 0.00
DFT total energy, eV for the cell shown: -14.3

Lattice parameters (Å, degrees): 10.293 8.460 8.046 77.12 53.24 49.64
Fractional positions:
Br1 0.124 0.124 0.626
Br2 0.374 0.374 0.876
Br3 0.626 0.626 0.124
Br4 0.876 0.876 0.374
Cl1 0.226 0.524 0.226
Cl2 0.476 0.774 0.476
Cl3 0.524 0.226 0.524
Cl4 0.774 0.476 0.774

No. 2
DFT (GGA-PBE) results for a relaxed BrCl7 crystal.

Computed properties:
Uncorrected formation energy, meV/atom: 874
M_tot, μB per cell: 5.05
DFT total energy, eV for the cell shown: -7.6

Lattice parameters (Å, degrees): 6.357 6.357 6.357 60.00 60.00 60.00
Fractional positions:
Br1 0.000 0.000 0.000
Cl1 0.000 0.000 0.500
Cl2 0.000 0.500 0.000
Cl3 0.000 0.500 0.500
Cl4 0.500 0.000 0.000
Cl5 0.500 0.000 0.500
Cl6 0.500 0.500 0.000
Cl7 0.500 0.500 0.500

No. 3
DFT (GGA-PBE) results for a relaxed BrCl2 crystal.

Computed properties:
Excess energy over the best structure of this formula in the dataset, meV per atom: 40
Uncorrected formation energy, meV/atom: 91
M_tot, μB per cell: 0.00
DFT total energy, eV for the cell shown: -10.2

Lattice parameters (Å, degrees): 3.988 6.886 8.352 76.82 80.87 81.80
Fractional positions:
Br1 0.000 0.249 0.251
Br2 0.000 0.751 0.749
Cl1 0.322 0.002 0.765
Cl2 0.322 0.500 0.267
Cl3 0.678 0.500 0.733
Cl4 0.678 0.998 0.235

No. 4
DFT (GGA-PBE) results for a relaxed BrCl crystal.

Computed properties:
Excess energy over the best structure of this formula in the dataset, meV per atom: 0
Uncorrected formation energy, meV/atom: -28
M_tot, μB per cell: 0.00
DFT total energy, eV for the cell shown: -14.3

Lattice parameters (Å, degrees): 7.696 5.289 7.804 90.00 90.00 90.00
Fractional positions:
Br1 0.000 0.000 0.000
Br2 0.000 0.000 0.500
Br3 0.500 0.500 0.000
Br4 0.500 0.500 0.500
Cl1 0.000 0.267 0.250
Cl2 0.000 0.733 0.750
Cl3 0.500 0.233 0.750
Cl4 0.500 0.767 0.250